--- i ---
Compound: Co3BrO
Source: the Alexandria database
Functional: PBE+U
Structure: relaxed

a = 4.5800 Å, b = 4.5800 Å, c = 4.5800 Å
α = 90.00°, β = 90.00°, γ = 90.00°
With the nearest neighbours (Å) after each atom.
Space group Pm-3m (No. 221)
Symmetry-distinct sites (fractional):
Co  0.0000  0.0000  0.5000 x3  2 Br 2.29
Br  0.0000  0.0000  0.0000 x1  6 Co 2.29
O  0.5000  0.5000  0.5000 x1  12 Co 3.24

Results
Calculated density: 4.7 Mg/m³

***

--- ii ---
Compound: Co3BrO
Source: the Alexandria database
Functional: PBE+U
Structure: relaxed

a = 4.0480 Å, b = 4.0480 Å, c = 4.0480 Å
α = 90.00°, β = 90.00°, γ = 90.00°
With the nearest neighbours (Å) after each atom.
Space group Pm-3m (No. 221)
Symmetry-distinct sites (fractional):
Co  0.0000  0.0000  0.5000 x3  2 O 2.02
Br  0.5000  0.5000  0.5000 x1  12 Co 2.86
O  0.0000  0.0000  0.0000 x1  6 Co 2.02

Results
Calculated density: 6.8 Mg/m³

***

Which of them is most stable? Easy: ii.

***

--- i ---
Compound: CoPBrO2
Source: the Alexandria database
Functional: PBE+U
Structure: relaxed

a = 3.7590 Å, b = 3.7590 Å, c = 5.3474 Å
α = 90.00°, β = 90.00°, γ = 90.00°
With the nearest neighbours (Å) after each atom.
Space group P4/mmm (No. 123)
Symmetry-distinct sites (fractional):
Co  0.0000  0.0000  0.0000 x1  4 P 2.66
P  0.5000  0.5000  0.0000 x1  4 Co 2.66, 2 Br 2.67
Br  0.5000  0.5000  0.5000 x1  4 O 1.88
O  0.0000  0.5000  0.5000 x2  2 Br 1.88

Results
Calculated density: 4.4 Mg/m³

***

--- ii ---
Compound: CoPBrO2
Source: the Alexandria database
Functional: PBE+U
Structure: relaxed

a = 3.6586 Å, b = 3.6586 Å, c = 5.2727 Å
α = 90.00°, β = 90.00°, γ = 90.00°
With the nearest neighbours (Å) after each atom.
Space group P4/mmm (No. 123)
Symmetry-distinct sites (fractional):
Co  0.0000  0.0000  0.0000 x1  4 O 1.83
P  0.0000  0.0000  0.5000 x1  4 Br 2.59, 2 Co 2.64
Br  0.5000  0.5000  0.5000 x1  4 P 2.59
O  0.0000  0.5000  0.0000 x2  2 Co 1.83

Results
Calculated density: 4.7 Mg/m³

***

Which of them is most stable? Easy: ii.

***

--- i ---
Compound: CoP2BrO
Source: the Alexandria database
Functional: PBE+U
Structure: relaxed

a = 4.9577 Å, b = 4.9577 Å, c = 3.6458 Å
α = 90.00°, β = 90.00°, γ = 90.00°
With the nearest neighbours (Å) after each atom.
Space group P4/mmm (No. 123)
Symmetry-distinct sites (fractional):
Co  0.0000  0.0000  0.0000 x1  8 P 3.08
P  0.0000  0.5000  0.5000 x2  2 Br 2.48
Br  0.5000  0.5000  0.5000 x1  2 O 1.82
O  0.5000  0.5000  0.0000 x1  2 Br 1.82

Results
Calculated density: 4.0 Mg/m³

***

--- ii ---
Compound: CoP2BrO
Source: the Alexandria database
Functional: PBE+U
Structure: relaxed

a = 4.7031 Å, b = 4.7031 Å, c = 3.5219 Å
α = 90.00°, β = 90.00°, γ = 90.00°
With the nearest neighbours (Å) after each atom.
Space group P4/mmm (No. 123)
Symmetry-distinct sites (fractional):
Co  0.0000  0.0000  0.0000 x1  2 O 1.76
P  0.0000  0.5000  0.0000 x2  2 Co 2.35
Br  0.5000  0.5000  0.5000 x1  8 P 2.94
O  0.0000  0.0000  0.5000 x1  2 Co 1.76

Results
Calculated density: 4.6 Mg/m³

***

Which of them is most stable? Easy: ii.

***

--- i ---
Compound: CoSeBr2O
Source: the Alexandria database
Functional: PBE+U
Structure: relaxed

a = 4.8216 Å, b = 4.8216 Å, c = 4.5297 Å
α = 90.00°, β = 90.00°, γ = 90.00°
With the nearest neighbours (Å) after each atom.
Space group P4/mmm (No. 123)
Symmetry-distinct sites (fractional):
Co  0.0000  0.0000  0.0000 x1  2 Se 2.26, 4 Br 2.41
Se  0.0000  0.0000  0.5000 x1  2 Co 2.26
Br  0.0000  0.5000  0.0000 x2  2 Co 2.41
O  0.5000  0.5000  0.5000 x1  8 Br 3.31, 4 Se 3.41

Results
Calculated density: 4.9 Mg/m³

***

--- ii ---
Compound: CoSeBr2O
Source: the Alexandria database
Functional: PBE+U
Structure: relaxed

a = 4.8253 Å, b = 4.8253 Å, c = 4.3503 Å
α = 90.00°, β = 90.00°, γ = 90.00°
With the nearest neighbours (Å) after each atom.
Space group P4/mmm (No. 123)
Symmetry-distinct sites (fractional):
Co  0.0000  0.0000  0.0000 x1  8 Br 3.25, 4 Se 3.41
Se  0.5000  0.5000  0.0000 x1  2 O 2.18
Br  0.0000  0.5000  0.5000 x2  2 O 2.41
O  0.5000  0.5000  0.5000 x1  2 Se 2.18, 4 Br 2.41

Results
Calculated density: 5.1 Mg/m³

***

Which of them is most stable? Easy: ii.